# 1
This record from the Alexandria database describes a geometry-optimized Sr2PrI structure. The functional is PBE.

Computed properties:
* ΔE_f (raw): -0.2710 eV per atom
* VASP energy: -10.8 eV per cell
* E above lowest polymorph: 207 meV/atom
* space group: R-3m (166)
* D(E_F): 5.2 states/eV/f.u.
* spin magnetization: 0.28 μB per cell

Cell: 12.835 12.835 12.835 Å, 17.94 17.94 17.94°
Fractional positions:
Sr 0.099 0.099 0.099
Sr 0.901 0.901 0.901
Pr 0.000 0.000 0.000
I 0.500 0.500 0.500

=====

# 2
This record from the Alexandria database describes a geometry-optimized HfTi2Pd structure. The functional is PBE.

Computed properties:
* VASP energy: -31.5 eV per cell
* E above lowest polymorph: 187 meV/atom
* space group: R3m (160)
* D(E_F): 4.8 states/eV/f.u.
* formation enthalpy at 0 K: -0.55 eV per formula unit
* spin magnetization: 0.00 μB per cell

Cell: 9.293 9.293 9.293 Å, 18.68 18.68 18.68°
Fractional positions:
Hf 0.000 0.000 0.000
Ti 0.579 0.579 0.579
Ti 0.755 0.755 0.755
Pd 0.167 0.167 0.167

=====

# 3
This record from the Alexandria database describes a geometry-optimized BaTlSi structure. The functional is PBE.

Computed properties:
* ΔE_f (raw): -0.3217 eV per atom
* VASP energy: -21.4 eV per cell
* E above lowest polymorph: 0 meV/atom
* space group: Cmcm (63)
* D(E_F): 1.0 states/eV/f.u.
* spin magnetization: 0.00 μB per cell

Cell: 9.247 9.247 4.141 Å, 90.00 90.00 148.01°
Fractional positions:
Ba 0.098 0.902 0.750
Ba 0.902 0.098 0.250
Tl 0.293 0.707 0.750
Tl 0.707 0.293 0.250
Si 0.462 0.538 0.750
Si 0.538 0.462 0.250